# NaNdMo2O8 GGA+U relaxed
# D(E_F) = 0.00 states/eV/f.u.
# final energy = -7.1149 eV per atom
data_NaNdMo2O8
_chemical_formula_sum 'Na2 Nd2 Mo4 O16'
_cell_length_a 7.569
_cell_length_b 7.569
_cell_length_c 6.696
_cell_angle_alpha 90.00
_cell_angle_beta 90.00
_cell_angle_gamma 90.00
_symmetry_space_group_name_H-M 'I -4 m 2'
_symmetry_Int_Tables_number 119
_symmetry_space_group_name_Hall 'I -4 -2'
loop_
_atom_site_label
_atom_site_type_symbol
_atom_site_fract_x
_atom_site_fract_y
_atom_site_fract_z
Na1 Na 0.000 0.000 0.000
Nd1 Nd 0.000 0.500 0.750
Mo1 Mo 0.000 0.000 0.500
Mo2 Mo 0.000 0.500 0.250
O1 O 0.000 0.192 0.658
O2 O 0.000 0.318 0.077